Record 1
{
  "formula": "TiMn2Mo4",
  "functional": "PBE",
  "state": "relaxed",
  "lattice_angstrom": [[-2.7174, 2.3686, 2.6825], [1.1196, -2.6364, 3.4620], [3.8446, 3.6395, 4.4442]],
  "species": ["Mo", "Mo", "Mo", "Mo", "Ti", "Mn", "Mn"],
  "frac_coords": [[0.0000, 0.5000, 0.0000], [0.7996, 0.7996, 0.4009], [0.2004, 0.2004, 0.5991], [0.5000, 0.0000, 0.0000], [0.0000, 0.0000, 0.0000], [0.3809, 0.3809, 0.2382], [0.6191, 0.6191, 0.7618]],
  "ef_ev_per_atom": 1.35
}

Record 2
{
  "formula": "Ti2MnMo",
  "functional": "PBE",
  "state": "relaxed",
  "lattice_angstrom": [[-4.3508, 0.8463, 5.1805], [-4.8623, -3.1853, -3.5632], [-3.8411, -3.4789, 1.8288]],
  "species": ["Ti", "Ti", "Ti", "Ti", "Mn", "Mn", "Mo", "Mo"],
  "frac_coords": [[0.3750, 0.4032, 0.7500], [0.1532, 0.6250, 0.2500], [0.8750, 0.8468, 0.7500], [0.5968, 0.1250, 0.2500], [0.2500, 0.7500, 0.5000], [0.5000, 0.5000, 0.0000], [0.0000, 0.0000, 0.0000], [0.7500, 0.2500, 0.5000]],
  "ef_ev_per_atom": 0.38
}

Record 3
{
  "formula": "TiMnVMo",
  "functional": "PBE",
  "state": "relaxed",
  "lattice_angstrom": [[-1.5947, -2.4042, 0.8592], [1.6496, -1.7434, -1.8167], [3.9675, -1.0009, 4.5629]],
  "species": ["Mn", "Mo", "Ti", "V"],
  "frac_coords": [[0.0000, 0.0000, 0.3666], [0.0000, 0.0000, 0.8474], [0.5000, 0.5000, 0.1212], [0.5000, 0.5000, 0.5928]],
  "ef_ev_per_atom": -0.15,
  "polymorph_energy_ev_per_fu": 0.00
}

Record 4
{
  "formula": "TiMnVMo",
  "functional": "PBE",
  "state": "relaxed",
  "lattice_angstrom": [[4.2815, 0.0000, 0.0000], [2.1407, 3.7079, 0.0000], [2.1407, 1.2360, 3.4958]],
  "species": ["Mo", "Ti", "V", "Mn"],
  "frac_coords": [[0.5000, 0.5000, 0.5000], [0.2500, 0.2500, 0.2500], [0.7500, 0.7500, 0.7500], [0.0000, 0.0000, 0.0000]],
  "ef_ev_per_atom": -0.13,
  "polymorph_energy_ev_per_fu": 0.06
}

Record 5
{
  "formula": "MnTlMo2",
  "functional": "PBE",
  "state": "relaxed",
  "lattice_angstrom": [[-3.4631, -1.0975, 8.4179], [-5.7096, -2.1387, 6.8473], [-3.4667, -3.8955, 7.5410]],
  "species": ["Mo", "Mo", "Mn", "Tl"],
  "frac_coords": [[0.0100, 0.0100, 0.0100], [0.4900, 0.4900, 0.4900], [0.7500, 0.7500, 0.7500], [0.2500, 0.2500, 0.2500]],
  "ef_ev_per_atom": 0.64,
  "polymorph_energy_ev_per_fu": 1.00
}

Record 6
{
  "formula": "MnTlMo2",
  "functional": "PBE",
  "state": "relaxed",
  "lattice_angstrom": [[0.0000, 3.1895, 3.1895], [3.1895, 0.0000, 3.1895], [3.1895, 3.1895, 0.0000]],
  "species": ["Mo", "Mo", "Mn", "Tl"],
  "frac_coords": [[0.2500, 0.2500, 0.2500], [0.7500, 0.7500, 0.7500], [0.0000, 0.0000, 0.0000], [0.5000, 0.5000, 0.5000]],
  "ef_ev_per_atom": 0.86,
  "polymorph_energy_ev_per_fu": 1.86
}

Record 7
{
  "formula": "MnTlMo2",
  "functional": "PBE",
  "state": "relaxed",
  "lattice_angstrom": [[-3.5945, -2.8264, -0.1691], [0.6547, -4.5228, -0.2305], [-1.0033, -2.6433, 3.5978]],
  "species": ["Mo", "Mo", "Mn", "Tl"],
  "frac_coords": [[0.2500, 0.2500, 0.2500], [0.0000, 0.0000, 0.0000], [0.5000, 0.5000, 0.5000], [0.7500, 0.7500, 0.7500]],
  "ef_ev_per_atom": 0.60,
  "polymorph_energy_ev_per_fu": 0.81
}

Record 8
{
  "formula": "Mn3TlMo",
  "functional": "PBE",
  "state": "relaxed",
  "lattice_angstrom": [[4.7233, 0.0000, 0.0000], [0.0000, 4.7233, 0.0000], [0.0000, 0.0000, 4.7233]],
  "species": ["Mo", "Tl", "Mn", "Mn", "Mn"],
  "frac_coords": [[0.0000, 0.0000, 0.0000], [0.5000, 0.5000, 0.5000], [0.0000, 0.5000, 0.0000], [0.0000, 0.0000, 0.5000], [0.5000, 0.0000, 0.0000]],
  "ef_ev_per_atom": 1.20,
  "polymorph_energy_ev_per_fu": 0.00
}